A plane-wave DFT calculation with GGA-PBE was carried out for crystalline Na2Ni5As4 at its relaxed geometry.

Output
ΔH_f (0 K): -0.259 eV/atom
space-group type: Fmmm (69)

Cell: 5.2655 5.6138 7.4709 Å, 80.49 69.37 62.03°
Atoms (fractional coordinates):
Na  0.8679  0.0000  0.2642
Na  0.1321  0.0000  0.7358
Ni  0.5000  0.0000  0.0000
Ni  0.0000  0.5000  0.0000
Ni  0.5000  0.5000  0.0000
Ni  0.2500  0.5000  0.5000
Ni  0.7500  0.5000  0.5000
As  0.4680  0.3164  0.7477
As  0.5320  0.6836  0.2523
As  0.2157  0.3164  0.2523
As  0.7843  0.6836  0.7477